No. 1
First-principles (PBE-GGA) data for a relaxed structure of LuPdPb, as listed in Alexandria.

The electronic total energy comes out at -4.9932 eV/atom. As for the calculated density: 11.70 g cm⁻³.

Cell lengths 3.4971, 3.4971, 11.3409 Å; angles 90.00, 90.00, 90.00 degrees
Closest atoms and distances in Å follow each position.
Space group I4mm (No. 107)
Inequivalent atoms, fractional coordinates:
Lu: 0.0000 0.0000 0.0000 (multiplicity 2)  4 Pd 2.89
Pd: 0.0000 0.0000 0.3684 (multiplicity 2)  4 Lu 2.89, 4 Pb 3.10
Pb: 0.0000 0.0000 0.7033 (multiplicity 2)  4 Pd 3.10, 5 Lu 3.37-3.38

=====

No. 2
First-principles (PBE-GGA) data for a relaxed structure of Lu2Pd2Pb, as listed in Alexandria.

The electronic total energy comes out at -5.4747 eV/atom. As for the calculated density: 11.79 g cm⁻³.

Cell lengths 7.7961, 7.7961, 3.5690 Å; angles 90.00, 90.00, 90.00 degrees
Closest atoms and distances in Å follow each position.
Space group P4/mbm (No. 127)
Inequivalent atoms, fractional coordinates:
Lu: 0.1684 0.3316 0.0000 (multiplicity 4)  6 Pd 2.88-2.93
Pd: 0.1268 0.6268 0.5000 (multiplicity 4)  1 Pd 2.80, 6 Lu 2.88-2.93, 2 Pb 3.07
Pb: 0.0000 0.0000 0.5000 (multiplicity 2)  4 Pd 3.07, 8 Lu 3.40